CuBi2SbPb: optimized geometry, PBE-GGA.

Properties
Electronic total energy: -13.586 eV per cell
Energy relative to the elements, uncorrected: 1.22 eV per atom

abc: 5.924 5.924 5.790
angles: 90.00 90.00 90.00
Sites, in units of the cell vectors:
Cu: 0.000 0.000 0.000
Bi: 0.000 0.500 0.500
Bi: 0.500 0.000 0.500
Sb: 0.500 0.500 0.000
Pb: 0.500 0.500 0.500

***

Th3SiGe: optimized geometry, PBE-GGA.

Properties
Electronic total energy: -71.347 eV per cell
Energy relative to the lowest polymorph listed for this composition: 0 meV/atom
Energy relative to the elements, uncorrected: -0.67 eV per atom

abc: 7.923 7.923 4.154
angles: 90.00 90.00 90.33
Sites, in units of the cell vectors:
Th: 0.000 0.500 0.500
Th: 0.176 0.824 0.000
Th: 0.317 0.317 0.000
Th: 0.500 0.000 0.500
Th: 0.683 0.683 0.000
Th: 0.824 0.176 0.000
Si: 0.114 0.114 0.500
Si: 0.886 0.886 0.500
Ge: 0.381 0.619 0.500
Ge: 0.619 0.381 0.500

***

CsSnAs: optimized geometry, PBE-GGA.

Properties
Formation energy from the elements: -0.360 eV per atom
Electronic total energy: -10.587 eV per cell

abc: 7.567 7.567 7.567
angles: 32.58 32.58 32.58
Sites, in units of the cell vectors:
Cs: 0.000 0.000 0.000
Sn: 0.812 0.812 0.812
As: 0.206 0.206 0.206

***

MgCuAsS4: optimized geometry, PBE-GGA.

Properties
Electronic total energy: -59.154 eV per cell
Energy relative to the elements, uncorrected: -0.39 eV per atom

abc: 7.389 7.389 7.389
angles: 123.66 117.26 89.30
Sites, in units of the cell vectors:
Mg: 0.000 0.000 0.000
Mg: 0.500 0.000 0.500
Cu: 0.500 0.000 0.000
Cu: 0.500 0.500 0.500
As: 0.087 0.337 0.750
As: 0.913 0.663 0.250
S: 0.221 0.221 0.500
S: 0.221 0.721 0.000
S: 0.303 0.240 0.063
S: 0.323 0.760 0.563
S: 0.677 0.240 0.437
S: 0.697 0.760 0.937
S: 0.779 0.279 0.000
S: 0.779 0.779 0.500

***

CrAgCl: optimized geometry, PBE-GGA.

Properties
Electronic total energy: -14.036 eV per cell
Energy relative to the lowest polymorph listed for this composition: 76 meV/atom
Energy relative to the elements, uncorrected: 0.10 eV per atom

abc: 6.527 6.527 6.527
angles: 152.30 152.30 39.58
Sites, in units of the cell vectors:
Cr: 0.000 0.000 0.000
Ag: 0.652 0.652 0.000
Cl: 0.380 0.380 0.000

***

Sm2Y2HoEr: optimized geometry, PBE-GGA.

Properties
Formation energy from the elements: 0.283 eV per atom
Electronic total energy: -59.620 eV per cell

abc: 6.608 17.808 3.378
angles: 90.00 90.00 90.00
Sites, in units of the cell vectors:
Sm: 0.235 0.181 0.000
Sm: 0.265 0.681 0.500
Sm: 0.735 0.319 0.500
Sm: 0.765 0.819 0.000
Y: 0.231 0.352 0.500
Y: 0.269 0.852 0.000
Y: 0.731 0.148 0.000
Y: 0.769 0.648 0.500
Ho: 0.000 0.500 0.000
Ho: 0.500 0.000 0.500
Er: 0.000 0.000 0.000
Er: 0.500 0.500 0.500

***

AgIrBr4: optimized geometry, PBE-GGA.

Properties
Electronic total energy: -9.989 eV per cell
Energy relative to the lowest polymorph listed for this composition: 1659 meV/atom
Energy relative to the elements, uncorrected: 1.40 eV per atom

abc: 6.122 6.122 6.122
angles: 60.00 60.00 60.00
Sites, in units of the cell vectors:
Ag: 0.000 0.000 0.000
Ir: 0.250 0.250 0.250
Br: 0.129 0.624 0.624
Br: 0.624 0.129 0.624
Br: 0.624 0.624 0.129
Br: 0.624 0.624 0.624

***

ZrTe2Pb: optimized geometry, PBE-GGA.

Properties
Electronic total energy: -19.850 eV per cell
Energy relative to the elements, uncorrected: -0.33 eV per atom

abc: 7.633 7.633 7.633
angles: 152.32 138.20 50.87
Sites, in units of the cell vectors:
Zr: 0.000 0.000 0.000
Te: 0.162 0.662 0.500
Te: 0.838 0.338 0.500
Pb: 0.500 0.500 0.000